Below is a relaxed Th6Bi3Sb2Te crystal, with properties calculated at the PBE level.

Cell and atoms, written as POSCAR:
```
Th6Bi3Sb2Te
1.0
-4.440 -0.301 -0.996
0.002 -8.682 2.616
0.020 5.050 8.823
Th Bi Sb Te
6 3 2 1
Direct
0.336 0.909 0.671
0.670 0.576 0.340
0.664 0.091 0.329
0.003 0.243 0.006
0.997 0.757 0.994
0.330 0.424 0.660
0.500 0.500 0.000
0.833 0.167 0.667
0.167 0.833 0.333
0.834 0.667 0.667
0.166 0.333 0.333
0.500 0.000 0.000
```

DOS(E_F): 0.82 states/eV per atom
Formation energy from raw total energies: -755 meV/atom